A relaxed AcNpCoS4 crystal. Source: the Alexandria database, functional PBE.

Lattice parameters (Å, degrees): 6.5139 5.8220 8.1177 90.00 106.61 90.00
Atoms (fractional coordinates):
S 0.5756 0.2500 0.4068
S 0.4244 0.7500 0.5932
S 0.9826 0.4908 0.2643
S 0.0174 0.9908 0.7357
S 0.4277 0.7500 0.1385
S 0.9826 0.0092 0.2643
S 0.0174 0.5092 0.7357
S 0.5723 0.2500 0.8615
Ac 0.2626 0.2500 0.0652
Ac 0.7374 0.7500 0.9348
Np 0.7508 0.7500 0.4445
Np 0.2492 0.2500 0.5555
Co 0.2316 0.7500 0.3279
Co 0.7684 0.2500 0.6721

Output
Uncorrected formation energy in meV per atom: -1340
E in eV per cell: -100.087
Calculated density in g cm⁻³: 7.33
N(E_F) in states/eV/cell: 20.78